No. 1
The following is a GGA-PBE calculation of a relaxed ZnGa2Cu crystal, from the Alexandria database.

Cell: 5.4167 5.7068 5.1766 Å, 108.14 121.55 90.00°
Fractional coordinates of all 8 atoms:
Ga: 0.2993 0.6776 0.4662
Ga: 0.8331 0.8224 0.5338
Ga: 0.1669 0.1776 0.4662
Ga: 0.7007 0.3224 0.5338
Cu: 0.8189 0.7500 0.0000
Cu: 0.1811 0.2500 0.0000
Zn: 0.6773 0.2500 0.0000
Zn: 0.3227 0.7500 0.0000

Summary:
- M_tot: 0.000 μB/f.u.
- ΔE_f: 0.00 eV per atom

***

No. 2
The following is a GGA-PBE calculation of a relaxed ZnGa2Cu9 crystal, from the Alexandria database.

Cell: 3.6929 3.6929 11.0648 Å, 90.00 90.00 90.00°
Fractional coordinates of all 12 atoms:
Cu: 0.5000 0.5000 0.0000
Cu: 0.5000 0.5000 0.6657
Cu: 0.5000 0.0000 0.1659
Cu: 0.0000 0.5000 0.8341
Cu: 0.0000 0.5000 0.1659
Cu: 0.0000 0.5000 0.5000
Cu: 0.5000 0.0000 0.5000
Cu: 0.5000 0.5000 0.3343
Cu: 0.5000 0.0000 0.8341
Zn: 0.0000 0.0000 0.0000
Ga: 0.0000 0.0000 0.6684
Ga: 0.0000 0.0000 0.3316

Summary:
- M_tot: 0.000 μB/f.u.
- ΔE_f: -0.09 eV per atom